## Rb2AuF (SCAN)

Data for a crystal of Rb2AuF relaxed with PBEsol.

The structure in POSCAR format:
```
Rb2AuF
1.0
-6.572 -1.850 1.755
1.765 -2.218 -6.454
4.821 -2.964 4.203
F Rb Au
2 4 2
direct
0.000 0.500 0.500
0.500 0.250 0.750
0.925 0.550 0.125
0.075 0.200 0.625
0.575 0.375 0.450
0.425 0.875 0.800
0.000 0.000 0.000
0.500 0.750 0.250
```

Summary:
The value obtained for the uncorrected formation energy is -1.5151 eV/atom. As for the symmetry: I-42d (122). The density is 4.80 g/cm³.